Entry from Alexandria via LeMat-Bulk: an optimized crystal structure of KNbAs2 (GGA-PBE).

Output
offset from the most stable computed form = 63.86 kJ per mole of atoms
formation energy = 23.5 kJ/mol of atoms
crystal system = cubic

Cell: 4.898 4.898 4.898 Å, 60.00 60.00 60.00°
Element x y z (fractional)
K  0.000  0.000  0.000
Nb  0.500  0.500  0.500
As  0.250  0.250  0.250
As  0.750  0.750  0.750



Entry from Alexandria via LeMat-Bulk: an optimized crystal structure of InOs2Ru (GGA-PBE).

Output
formation energy = 37.9 kJ/mol of atoms
crystal system = monoclinic

Cell: 4.812 4.812 4.918 Å, 99.96 99.96 34.12°
Element x y z (fractional)
In  0.000  0.000  0.000
Os  0.505  0.505  0.494
Os  0.763  0.763  0.310
Ru  0.241  0.241  0.762



Entry from Alexandria via LeMat-Bulk: an optimized crystal structure of TbNd6TmSc2 (GGA-PBE).

Output
formation energy = 12.1 kJ/mol of atoms
crystal system = monoclinic

Cell: 8.803 8.803 9.551 Å, 94.22 94.22 117.72°
Element x y z (fractional)
Tb  0.028  0.972  0.750
Tb  0.972  0.028  0.250
Nd  0.008  0.560  0.685
Nd  0.111  0.763  0.052
Nd  0.237  0.889  0.448
Nd  0.299  0.506  0.883
Nd  0.440  0.992  0.815
Nd  0.494  0.701  0.617
Nd  0.506  0.299  0.383
Nd  0.560  0.008  0.185
Nd  0.701  0.494  0.117
Nd  0.763  0.111  0.552
Nd  0.889  0.237  0.948
Nd  0.992  0.440  0.315
Tm  0.410  0.590  0.250
Tm  0.590  0.410  0.750
Sc  0.199  0.296  0.549
Sc  0.296  0.199  0.049
Sc  0.704  0.801  0.951
Sc  0.801  0.704  0.451



Entry from Alexandria via LeMat-Bulk: an optimized crystal structure of TaZn2Ru (GGA-PBE).

Output
offset from the most stable computed form = 4.10 kJ per mole of atoms
formation energy = -6.9 kJ/mol of atoms
crystal system = orthorhombic

Cell: 4.739 4.739 4.739 Å, 133.63 126.76 73.23°
Element x y z (fractional)
Ta  0.000  0.000  0.000
Zn  0.262  0.762  0.500
Zn  0.497  0.497  0.000
Ru  0.756  0.256  0.500



| no. | size of the total moment (μB/cell) |
| --- | --- |
| 1 | 1.20 |
| 2 | 0.00 |
| 3 | 0.00 |
| 4 | 0.00 |